Material: LaHfMg6
Method: DFT, PBE-GGA
State: optimized geometry

* distance to the lowest polymorph of the same formula: 0 meV per atom
* calculated density: 3.90 g/cm³
* symmetry: Cmmm (65)
* formation energy: 0.0648 eV per atom

Lattice parameters (Å, degrees): 6.4168 6.4168 4.8395 90.00 90.00 98.34
Last column: nearest neighbours and their distance in Å.
Fractional coordinates of all 8 atoms:
La 0.0000 0.0000 0.0000  12 Mg 3.21-3.50
Hf 0.5000 0.5000 0.0000  12 Mg 3.11-3.36
Mg 0.0000 0.5000 0.0000  8 Mg 3.20-3.43, 2 Hf 3.21, 2 La 3.21
Mg 0.2601 0.7399 0.5000  8 Mg 3.04-3.37, 2 Hf 3.36
Mg 0.2667 0.2667 0.5000  4 Mg 3.04-3.37, 2 Hf 3.11, 2 La 3.30
Mg 0.5000 0.0000 0.0000  8 Mg 3.20-3.43, 2 Hf 3.21, 2 La 3.21
Mg 0.7333 0.7333 0.5000  4 Mg 3.04-3.37, 2 Hf 3.11, 2 La 3.30
Mg 0.7399 0.2601 0.5000  8 Mg 3.04-3.37, 2 Hf 3.36